No. 1
First-principles (PBE) data for an optimized crystal structure of PuHf2Ga, as listed in the Alexandria database.

Cell lengths 3.215, 3.215, 28.969 Å; angles 90.00, 90.00, 120.00 degrees
Element x y z (fractional)
Pu  0.000  0.000  0.000
Pu  0.333  0.667  0.667
Pu  0.667  0.333  0.333
Hf  0.000  0.000  0.245
Hf  0.000  0.000  0.755
Hf  0.333  0.667  0.422
Hf  0.333  0.667  0.912
Hf  0.667  0.333  0.088
Hf  0.667  0.333  0.578
Ga  0.000  0.000  0.500
Ga  0.333  0.667  0.167
Ga  0.667  0.333  0.833

E_tot = -9.354 eV per atom
ΔE_f = -14 kJ/mol of formula units
Energy above the most stable polymorph in this dataset = 82 meV per atom


No. 2
First-principles (PBE) data for an optimized crystal structure of Ga2BiPb2, as listed in the Alexandria database.

Cell lengths 8.933, 8.933, 3.454 Å; angles 90.00, 90.00, 90.00 degrees
Element x y z (fractional)
Ga  0.149  0.351  0.000
Ga  0.351  0.851  0.000
Ga  0.649  0.149  0.000
Ga  0.851  0.649  0.000
Bi  0.000  0.000  0.500
Bi  0.500  0.500  0.500
Pb  0.149  0.649  0.500
Pb  0.351  0.149  0.500
Pb  0.649  0.851  0.500
Pb  0.851  0.351  0.500

E_tot = -3.362 eV per atom
ΔE_f = 52 kJ/mol of formula units
Energy above the most stable polymorph in this dataset = 42 meV per atom


No. 3
First-principles (PBE) data for an optimized crystal structure of SbTe2AsOs, as listed in the Alexandria database.

Cell lengths 5.242, 5.242, 5.084 Å; angles 90.00, 90.00, 90.00 degrees
Element x y z (fractional)
Sb  0.000  0.000  0.000
Te  0.000  0.500  0.500
Te  0.500  0.000  0.500
As  0.000  0.000  0.500
Os  0.500  0.500  0.000

E_tot = -3.595 eV per atom
Energy above the most stable polymorph in this dataset = 834 meV per atom


> Number 3 is which compound?

SbTe2AsOs